First-principles (GGA-PBE) data for an optimized crystal structure of TbCeHgBi, as listed in the Alexandria database.

Structure (CIF):
```
data_TbCeHgBi
_chemical_formula_sum 'Tb4 Ce4 Hg4 Bi4'
_cell_length_a 7.6947
_cell_length_b 7.6947
_cell_length_c 7.6947
_cell_angle_alpha 90.00
_cell_angle_beta 90.00
_cell_angle_gamma 90.00
_space_group_name_H-M_alt 'F -4 3 m'
_space_group_IT_number 216
_space_group_name_Hall 'F -4 2 3'
loop_
_atom_site_label
_atom_site_fract_x
_atom_site_fract_y
_atom_site_fract_z
_atom_site_occupancy
Tb1 0.0000 0.0000 0.0000 1
Ce1 0.0000 0.0000 0.5000 1
Hg1 0.2500 0.2500 0.2500 1
Bi1 0.2500 0.2500 0.7500 1
```

Properties
V   455.58 Å³ per cell
DOS(E_F)   2.548 states/eV/atom
Uncorrected energy   -66.620 eV per cell